# Pr2Sm6In3

A relaxed structure of Pr2Sm6In3 (GGA-PBE, Alexandria).

Theoretical density, g cm⁻³: 6.923
Energy of formation, meV per atom: -38
Density of states at the Fermi level, states/eV/cell: 13.7
Size of the total moment, μB per formula unit: 0.000
Space group: I4/mmm (139)

Cell and atoms, written as POSCAR:
```
Pr2Sm6In3
1.0
-2.307 2.307 17.215
2.307 -2.307 17.215
2.307 2.307 -17.215
Pr Sm In
2 6 3
Direct
0.044 0.044 0.000
0.956 0.956 0.000
0.128 0.628 0.500
0.214 0.214 0.000
0.372 0.872 0.500
0.628 0.128 0.500
0.786 0.786 0.000
0.872 0.372 0.500
0.306 0.306 0.000
0.500 0.500 0.000
0.694 0.694 0.000
```